Entry from Alexandria via LeMat-Bulk: Tb2ZnGe4Rh3 after structural relaxation (GGA-PBE).

Lattice parameters (Å, degrees): 4.201 4.201 10.304 90.00 90.00 90.00
Positions (direct):
Tb (0.000, 0.500, 0.243)
Tb (0.500, 0.000, 0.757)
Zn (0.000, 0.000, 0.500)
Ge (0.000, 0.000, 0.000)
Ge (0.000, 0.500, 0.640)
Ge (0.500, 0.000, 0.360)
Ge (0.500, 0.500, 0.000)
Rh (0.000, 0.500, 0.874)
Rh (0.500, 0.000, 0.126)
Rh (0.500, 0.500, 0.500)

Results
**Space-group type**: P-4m2, No. 115
**Magnetic moment**: 0.00 Bohr magnetons per cell
**V**: 181.82 Å³ per cell
**E**: -5.8379 eV per atom